Record 1
Computed, not measured: crystalline La2PRh6 at its relaxed geometry at the PBE-GGA level of DFT.

Structure (CIF):
```
data_La2PRh6
_cell_length_a 8.585
_cell_length_b 8.585
_cell_length_c 8.585
_cell_angle_alpha 90.00
_cell_angle_beta 90.00
_cell_angle_gamma 90.00
_symmetry_space_group_name_H-M 'F m -3 m'
_symmetry_Int_Tables_number 225
_symmetry_space_group_name_Hall '-F 4 2 3'
loop_
_atom_site_label
_atom_site_type_symbol
_atom_site_fract_x
_atom_site_fract_y
_atom_site_fract_z
La1 La 0.250 0.250 0.250
P1 P 0.000 0.000 0.000
Rh1 Rh 0.000 0.000 0.266
```

calculated total energy = -0.27018 hartree per atom

***

Record 2
Computed, not measured: crystalline LaPRh2 at its relaxed geometry at the PBE-GGA level of DFT.

Structure (CIF):
```
data_LaPRh2
_cell_length_a 4.279
_cell_length_b 4.279
_cell_length_c 7.813
_cell_angle_alpha 90.00
_cell_angle_beta 90.00
_cell_angle_gamma 90.00
_symmetry_space_group_name_H-M 'I 4/m m m'
_symmetry_Int_Tables_number 139
_symmetry_space_group_name_Hall '-I 4 2'
loop_
_atom_site_label
_atom_site_type_symbol
_atom_site_fract_x
_atom_site_fract_y
_atom_site_fract_z
La1 La 0.000 0.000 0.000
P1 P 0.000 0.000 0.500
Rh1 Rh 0.000 0.500 0.250
```

calculated total energy = -0.24618 hartree per atom